[1]
Entry from the Alexandria database: Rb3BeSn after structural relaxation (PBE).

The structure belongs to space group Pm-3m (No. 221); the cell edges are 6.5038, 6.5038 and 6.5038 Å and the angles 90.00°, 90.00° and 90.00°. The distinct sites, in fractional coordinates, are Rb at (0.0000, 0.0000, 0.5000), Be at (0.0000, 0.0000, 0.0000) and Sn at (0.5000, 0.5000, 0.5000).

Its electronic total energy is -7.2 eV for the cell shown. For the formation enthalpy at 0 K, the calculation gives 3.4 eV/f.u. Its relative energy among the computed polymorphs is 0.000 eV/atom. Its magnetization is 1.01 Bohr magnetons per cell.

***

[2]
Entry from the Alexandria database: La3Nd2In2 after structural relaxation (PBE).

The structure belongs to space group C2/m (No. 12); the cell edges are 17.2861, 3.6231 and 8.2591 Å and the angles 90.00°, 118.43° and 90.00°. The distinct sites, in fractional coordinates, are La at (0.0000, 0.0000, 0.0000), La at (0.2077, 0.0000, 0.2918), Nd at (0.1272, 0.0000, 0.7798) and In at (0.0663, 0.5000, 0.3980).

Its electronic total energy is -62.0 eV for the cell shown. For the formation enthalpy at 0 K, the calculation gives -1.2 eV/f.u. Its relative energy among the computed polymorphs is 0.000 eV/atom. Its magnetization is 0.00 Bohr magnetons per cell.

***

[3]
Entry from the Alexandria database: LiPmGdRe after structural relaxation (PBE).

The structure belongs to space group F-43m (No. 216); the cell edges are 7.0585, 7.0585 and 7.0585 Å and the angles 90.00°, 90.00° and 90.00°. The distinct sites, in fractional coordinates, are Li at (0.0000, 0.0000, 0.0000), Pm at (0.2500, 0.2500, 0.7500), Gd at (0.2500, 0.2500, 0.2500) and Re at (0.0000, 0.0000, 0.5000).

Its electronic total energy is -130.8 eV for the cell shown. For the formation enthalpy at 0 K, the calculation gives 0.5 eV/f.u. Its magnetization is 28.44 Bohr magnetons per cell.

***

[4]
Entry from the Alexandria database: TlHS after structural relaxation (PBE).

The structure belongs to space group P2_1/m (No. 11); the cell edges are 4.2584, 5.3596 and 6.5435 Å and the angles 90.00°, 108.13° and 90.00°. The distinct sites, in fractional coordinates, are Tl at (0.2420, 0.2500, 0.2890), H at (0.4799, 0.2500, 0.8716) and S at (0.1479, 0.2500, 0.7795).

Its electronic total energy is -21.2 eV for the cell shown. Its relative energy among the computed polymorphs is 0.000 eV/atom. Its magnetization is 0.00 Bohr magnetons per cell.

***

[5]
Entry from the Alexandria database: LuZnPd after structural relaxation (PBE).

The structure belongs to space group I4mm (No. 107); the cell edges are 3.5130, 3.5130 and 8.9824 Å and the angles 90.00°, 90.00° and 90.00°. The distinct sites, in fractional coordinates, are Lu at (0.0000, 0.0000, 0.0000), Zn at (0.0000, 0.0000, 0.3196) and Pd at (0.0000, 0.0000, 0.6689).

Its electronic total energy is -26.1 eV for the cell shown. For the formation enthalpy at 0 K, the calculation gives -2.1 eV/f.u. Its relative energy among the computed polymorphs is 0.075 eV/atom. Its magnetization is 0.00 Bohr magnetons per cell.

***

[6]
Entry from the Alexandria database: Cr2CuRu after structural relaxation (PBE).

The structure belongs to space group P4/mmm (No. 123); the cell edges are 2.6184, 2.6184 and 7.3137 Å and the angles 90.00°, 90.00° and 90.00°. The distinct sites, in fractional coordinates, are Cr at (0.0000, 0.0000, 0.2504), Cu at (0.5000, 0.5000, 0.0000) and Ru at (0.5000, 0.5000, 0.5000).

Its electronic total energy is -31.5 eV for the cell shown. For the formation enthalpy at 0 K, the calculation gives 1.1 eV/f.u. Its magnetization is 0.10 Bohr magnetons per cell.